A relaxed Pm2Pr4HoEr2 crystal, computed with PBE.

a = 5.153 Å, b = 8.149 Å, c = 8.093 Å
α = 107.62°, β = 90.00°, γ = 108.43°
Fractional positions:
Pr 0.446 0.891 0.670
Er 0.333 0.666 0.000
Er 0.667 0.334 0.000
Pr 0.222 0.444 0.329
Pr 0.778 0.556 0.671
Pm 0.888 0.777 0.329
Pr 0.554 0.109 0.330
Ho 0.000 0.000 0.000
Pm 0.112 0.223 0.671

Properties
As for the space group: No. 12. Its total energy is -4.679 eV/atom. Its density of states at the Fermi level is 14.73 states/eV/f.u.

A relaxed PmPr2HoEr2 crystal, computed with PBE.

a = 5.699 Å, b = 7.025 Å, c = 9.900 Å
α = 90.00°, β = 90.00°, γ = 90.00°
Fractional positions:
Pr 0.500 0.508 0.000
Er 0.500 0.257 0.334
Pr 0.500 0.008 0.000
Er 0.500 0.757 0.666
Pr 0.000 0.758 0.829
Er 0.000 0.258 0.834
Pr 0.000 0.258 0.171
Pm 0.000 0.007 0.500
Er 0.000 0.758 0.166
Ho 0.500 0.757 0.336
Ho 0.500 0.257 0.664
Pm 0.000 0.507 0.500

Properties
As for the space group: No. 51. Its total energy is -4.598 eV/atom. Its density of states at the Fermi level is 9.05 states/eV/f.u.

A relaxed Pm6PrHo2Er3 crystal, computed with PBE.

a = 6.243 Å, b = 6.243 Å, c = 11.862 Å
α = 95.02°, β = 95.02°, γ = 119.99°
Fractional positions:
Pm 0.419 0.085 0.253
Pm 0.085 0.419 0.253
Pr 0.000 0.000 0.000
Ho 0.667 0.333 0.000
Er 0.500 0.500 0.500
Pm 0.750 0.750 0.252
Ho 0.333 0.667 0.000
Pm 0.915 0.581 0.747
Pm 0.581 0.915 0.747
Er 0.833 0.167 0.500
Er 0.167 0.833 0.500
Pm 0.250 0.250 0.748

Properties
As for the space group: No. 12. Its total energy is -4.662 eV/atom. Its density of states at the Fermi level is 14.33 states/eV/f.u.

A relaxed Pm2PrHo6Er3 crystal, computed with PBE.

a = 6.163 Å, b = 6.163 Å, c = 11.763 Å
α = 95.00°, β = 95.00°, γ = 119.96°
Fractional positions:
Ho 0.752 0.752 0.254
Er 0.833 0.167 0.500
Ho 0.419 0.086 0.254
Ho 0.581 0.914 0.746
Ho 0.248 0.248 0.746
Ho 0.914 0.581 0.746
Pm 0.667 0.333 0.000
Er 0.500 0.500 0.500
Ho 0.086 0.419 0.254
Pm 0.333 0.667 0.000
Er 0.167 0.833 0.500
Pr 0.000 0.000 0.000

Properties
As for the space group: No. 12. Its total energy is -4.599 eV/atom. Its density of states at the Fermi level is 16.02 states/eV/f.u.

A relaxed PmPrHo2Er2 crystal, computed with PBE.

a = 3.398 Å, b = 6.600 Å, c = 17.755 Å
α = 90.00°, β = 90.00°, γ = 90.00°
Fractional positions:
Pr 0.500 0.500 0.500
Pm 0.500 0.500 0.000
Ho 0.500 0.776 0.349
Ho 0.000 0.276 0.151
Er 0.500 0.274 0.316
Ho 0.000 0.724 0.849
Er 0.000 0.226 0.816
Ho 0.500 0.224 0.651
Er 0.000 0.774 0.184
Pm 0.000 0.000 0.500
Pr 0.000 0.000 0.000
Er 0.500 0.726 0.684

Properties
As for the space group: No. 58. Its total energy is -4.354 eV/atom. Its density of states at the Fermi level is 9.40 states/eV/f.u.

A relaxed Pm4PrHo2Er crystal, computed with PBE.

a = 3.619 Å, b = 6.240 Å, c = 11.938 Å
α = 79.86°, β = 90.00°, γ = 90.00°
Fractional positions:
Pm 0.500 0.750 0.252
Ho 0.500 0.000 0.500
Pm 0.500 0.250 0.748
Pm 0.000 0.248 0.254
Ho 0.000 0.000 0.000
Pr 0.500 0.500 0.000
Pm 0.000 0.752 0.746
Er 0.000 0.500 0.500

Properties
As for the space group: No. 10. Its total energy is -4.669 eV/atom. Its density of states at the Fermi level is 11.15 states/eV/f.u.

A relaxed Pm2Pr2HoEr2 crystal, computed with PBE.

a = 5.735 Å, b = 5.735 Å, c = 8.882 Å
α = 71.16°, β = 71.16°, γ = 60.00°
Fractional positions:
Pr 0.862 0.862 0.415
Pm 0.286 0.286 0.143
Pm 0.714 0.714 0.857
Er 0.428 0.428 0.715
Ho 0.000 0.000 0.000
Pr 0.138 0.138 0.585
Er 0.572 0.572 0.285

Properties
As for the space group: No. 166. Its total energy is -4.555 eV/atom. Its density of states at the Fermi level is 14.90 states/eV/f.u.

A relaxed PmPr6HoEr2 crystal, computed with PBE.

a = 9.690 Å, b = 9.006 Å, c = 9.006 Å
α = 117.24°, β = 93.66°, γ = 93.66°
Fractional positions:
Er 0.048 0.298 0.202
Pr 0.617 0.486 0.706
Er 0.548 0.202 0.298
Pm 0.250 0.971 0.029
Er 0.952 0.702 0.798
Ho 0.250 0.412 0.588
Pr 0.188 0.562 0.006
Pr 0.312 0.994 0.438
Pr 0.555 0.762 0.114
Pr 0.055 0.114 0.762
Pr 0.812 0.438 0.994
Pr 0.117 0.706 0.486
Pr 0.883 0.294 0.514
Ho 0.750 0.588 0.412
Pr 0.688 0.006 0.562
Pr 0.383 0.514 0.294
Pm 0.750 0.029 0.971
Pr 0.945 0.886 0.238
Er 0.452 0.798 0.702
Pr 0.445 0.238 0.886

Properties
As for the space group: No. 15. Its total energy is -4.599 eV/atom. Its density of states at the Fermi level is 14.71 states/eV/f.u.

| no. | energy of formation from the pure elements (meV per atom) |
| --- | --- |
| 1 | 24 |
| 2 | 71 |
| 3 | 16 |
| 4 | 21 |
| 5 | 282 |
| 6 | 18 |
| 7 | 126 |
| 8 | 114 |